## PaGa2I6 (PBE)

Data for crystalline PaGa2I6 at its relaxed geometry.

Cell: 7.973 8.558 11.993 Å, 90.00 93.53 90.00°
Last column: magnetic moment on the atom in μB.
Fractional positions:
1 I 0.346 0.559 0.766  -0.02
2 I 0.317 0.815 0.451  -0.01
3 I 0.154 0.059 0.734  -0.02
4 I 0.654 0.441 0.234  -0.02
5 I 0.183 0.315 0.049  -0.01
6 I 0.683 0.185 0.549  -0.01
7 I 0.667 0.209 0.917  -0.02
8 I 0.846 0.941 0.266  -0.02
9 I 0.833 0.709 0.583  -0.02
10 I 0.817 0.685 0.951  -0.01
11 I 0.333 0.791 0.083  -0.02
12 I 0.167 0.291 0.417  -0.02
13 Ga 0.484 0.106 0.317  0.00
14 Ga 0.984 0.394 0.817  0.00
15 Ga 0.016 0.606 0.183  0.00
16 Ga 0.516 0.894 0.683  0.00
17 Pa 0.000 0.000 0.500  1.09
18 Pa 0.500 0.500 0.000  1.09

Properties
DOS(E_F) (states/eV per cell): 1.92
Crystal system: monoclinic
Energy relative to the elements, uncorrected (eV per atom): -0.698

---

## GdYNiIr (PBE)

Data for crystalline GdYNiIr at its relaxed geometry.

Cell: 4.853 4.853 4.853 Å, 60.00 60.00 60.00°
Last column: magnetic moment on the atom in μB.
Fractional positions:
1 Gd 0.000 0.000 0.000  7.00
2 Ir 0.750 0.750 0.750  -0.06
3 Ni 0.250 0.250 0.250  -0.02
4 Y 0.500 0.500 0.500  0.01

Properties
DOS(E_F) (states/eV per cell): 2.49
Crystal system: cubic
E_form (eV/atom): -0.596

---

## CaScPb2 (PBE)

Data for crystalline CaScPb2 at its relaxed geometry.

Cell: 5.570 3.554 5.568 Å, 89.95 90.00 90.00°
Last column: magnetic moment on the atom in μB.
Fractional positions:
1 Sc 0.000 0.620 0.375  0.19
2 Pb 0.000 0.126 0.875  0.00
3 Pb 0.500 0.126 0.375  0.00
4 Ca 0.500 0.628 0.875  0.00

Properties
DOS(E_F) (states/eV per cell): 3.95
Crystal system: tetragonal
E_form (eV/atom): -0.338

---

Please write out number 1 again, unchanged.
## PaGa2I6 (PBE)

Data for crystalline PaGa2I6 at its relaxed geometry.

Cell: 7.973 8.558 11.993 Å, 90.00 93.53 90.00°
Last column: magnetic moment on the atom in μB.
Fractional positions:
1 I 0.346 0.559 0.766  -0.02
2 I 0.317 0.815 0.451  -0.01
3 I 0.154 0.059 0.734  -0.02
4 I 0.654 0.441 0.234  -0.02
5 I 0.183 0.315 0.049  -0.01
6 I 0.683 0.185 0.549  -0.01
7 I 0.667 0.209 0.917  -0.02
8 I 0.846 0.941 0.266  -0.02
9 I 0.833 0.709 0.583  -0.02
10 I 0.817 0.685 0.951  -0.01
11 I 0.333 0.791 0.083  -0.02
12 I 0.167 0.291 0.417  -0.02
13 Ga 0.484 0.106 0.317  0.00
14 Ga 0.984 0.394 0.817  0.00
15 Ga 0.016 0.606 0.183  0.00
16 Ga 0.516 0.894 0.683  0.00
17 Pa 0.000 0.000 0.500  1.09
18 Pa 0.500 0.500 0.000  1.09

Properties
DOS(E_F) (states/eV per cell): 1.92
Crystal system: monoclinic
Energy relative to the elements, uncorrected (eV per atom): -0.698